Crystalline PrDy2YSe4 at its relaxed geometry. Source: the Alexandria database, functional PBE.

Cell lengths 7.1824, 4.0647, 7.1932 Å; angles 90.00, 108.69, 90.00 degrees
Last column: nearest neighbours and their distance in Å.
Positions (direct):
Pr1 0.0000 0.0000 0.0000  6 Se 2.99
Dy1 0.0000 0.5000 0.5000  6 Se 2.91-2.92
Dy2 0.5000 0.0000 0.5000  6 Se 2.85-2.86
Y1 0.5000 0.5000 0.0000  6 Se 2.92-2.93
Se1 0.2547 0.0000 0.7435  3 Dy 2.86-2.91, 2 Y 2.92, 1 Pr 2.99
Se2 0.2609 0.5000 0.2618  3 Dy 2.85-2.92, 1 Y 2.93, 2 Pr 2.99
Se3 0.7391 0.5000 0.7382  3 Dy 2.85-2.92, 1 Y 2.93, 2 Pr 2.99
Se4 0.7453 0.0000 0.2565  3 Dy 2.86-2.91, 2 Y 2.92, 1 Pr 2.99

Summary:
formation energy without anion corrections	-1771	meV/atom
density of states at the Fermi level	4.71	states/eV/cell
M_tot	0.00	μB per cell

---

Crystalline PrDy4Y3Se8 at its relaxed geometry. Source: the Alexandria database, functional PBE.

Cell lengths 8.2132, 8.2132, 8.2132 Å; angles 59.97, 59.97, 59.97 degrees
Last column: nearest neighbours and their distance in Å.
Positions (direct):
Pr1 0.0000 0.0000 0.0000  6 Se 2.97
Dy1 0.0000 0.0000 0.5000  6 Se 2.90
Dy2 0.0000 0.5000 0.0000  6 Se 2.90
Dy3 0.5000 0.0000 0.0000  6 Se 2.90
Dy4 0.5000 0.5000 0.5000  6 Se 2.84
Y1 0.0000 0.5000 0.5000  6 Se 2.91
Y2 0.5000 0.0000 0.5000  6 Se 2.91
Y3 0.5000 0.5000 0.0000  6 Se 2.91
Se1 0.2495 0.2495 0.2495  3 Dy 2.90, 3 Y 2.91
Se2 0.2548 0.7443 0.7443  3 Dy 2.84-2.90, 2 Y 2.91, 1 Pr 2.97
Se3 0.2557 0.2557 0.7452  3 Dy 2.84-2.90, 2 Y 2.91, 1 Pr 2.97
Se4 0.2557 0.7452 0.2557  3 Dy 2.84-2.90, 2 Y 2.91, 1 Pr 2.97
Se5 0.7443 0.2548 0.7443  3 Dy 2.84-2.90, 2 Y 2.91, 1 Pr 2.97
Se6 0.7443 0.7443 0.2548  3 Dy 2.84-2.90, 2 Y 2.91, 1 Pr 2.97
Se7 0.7452 0.2557 0.2557  3 Dy 2.84-2.90, 2 Y 2.91, 1 Pr 2.97
Se8 0.7505 0.7505 0.7505  3 Dy 2.90, 3 Y 2.91

Summary:
formation energy without anion corrections	-1758	meV/atom
density of states at the Fermi level	10.68	states/eV/cell
M_tot	0.00	μB per cell

---

Crystalline PrDy3Y2Se6 at its relaxed geometry. Source: the Alexandria database, functional PBE.

Cell lengths 7.1196, 7.1196, 7.1363 Å; angles 99.53, 99.53, 120.25 degrees
Last column: nearest neighbours and their distance in Å.
Positions (direct):
Pr1 0.0000 0.0000 0.0000  6 Se 2.97-3.00
Dy1 0.1596 0.8404 0.5000  6 Se 2.87-2.91
Dy2 0.5000 0.5000 0.5000  6 Se 2.83-2.91
Dy3 0.8404 0.1596 0.5000  6 Se 2.87-2.91
Y1 0.3345 0.6655 0.0000  6 Se 2.88-2.92
Y2 0.6655 0.3345 0.0000  6 Se 2.88-2.92
Se1 0.0856 0.4300 0.2581  3 Dy 2.88-2.91, 2 Y 2.91-2.92, 1 Pr 3.00
Se2 0.2592 0.2592 0.7473  3 Dy 2.83-2.87, 2 Y 2.88, 1 Pr 2.97
Se3 0.4300 0.0856 0.2581  3 Dy 2.88-2.91, 2 Y 2.91-2.92, 1 Pr 3.00
Se4 0.5700 0.9144 0.7419  3 Dy 2.88-2.91, 2 Y 2.91-2.92, 1 Pr 3.00
Se5 0.7408 0.7408 0.2527  3 Dy 2.83-2.87, 2 Y 2.88, 1 Pr 2.97
Se6 0.9144 0.5700 0.7419  3 Dy 2.88-2.91, 2 Y 2.91-2.92, 1 Pr 3.00

Summary:
formation energy without anion corrections	-1771	meV/atom
density of states at the Fermi level	5.41	states/eV/cell
M_tot	0.00	μB per cell

---

Crystalline PrDy2Y3Se6 at its relaxed geometry. Source: the Alexandria database, functional PBE.

Cell lengths 7.1295, 7.1295, 7.1277 Å; angles 99.54, 99.54, 120.24 degrees
Last column: nearest neighbours and their distance in Å.
Positions (direct):
Pr1 0.0000 0.0000 0.0000  6 Se 2.97-3.00
Dy1 0.3348 0.6652 0.0000  6 Se 2.87-2.91
Dy2 0.6652 0.3348 0.0000  6 Se 2.87-2.91
Y1 0.1588 0.8412 0.5000  6 Se 2.87-2.92
Y2 0.5000 0.5000 0.5000  6 Se 2.84-2.92
Y3 0.8412 0.1588 0.5000  6 Se 2.87-2.92
Se1 0.0848 0.4302 0.2561  3 Y 2.89-2.92, 2 Dy 2.90-2.91, 1 Pr 3.00
Se2 0.2607 0.2607 0.7494  3 Y 2.84-2.87, 2 Dy 2.87, 1 Pr 2.97
Se3 0.4302 0.0848 0.2561  3 Y 2.89-2.92, 2 Dy 2.90-2.91, 1 Pr 3.00
Se4 0.5698 0.9152 0.7439  3 Y 2.89-2.92, 2 Dy 2.90-2.91, 1 Pr 3.00
Se5 0.7393 0.7393 0.2506  3 Y 2.84-2.87, 2 Dy 2.87, 1 Pr 2.97
Se6 0.9152 0.5698 0.7439  3 Y 2.89-2.92, 2 Dy 2.90-2.91, 1 Pr 3.00

Summary:
formation energy without anion corrections	-1774	meV/atom
density of states at the Fermi level	5.38	states/eV/cell
M_tot	0.00	μB per cell

---

Crystalline PrDyY2Se4 at its relaxed geometry. Source: the Alexandria database, functional PBE.

Cell lengths 7.1529, 4.0728, 7.2253 Å; angles 90.00, 108.77, 90.00 degrees
Last column: nearest neighbours and their distance in Å.
Positions (direct):
Pr1 0.0000 0.0000 0.0000  6 Se 2.98-2.99
Dy1 0.0000 0.5000 0.5000  6 Se 2.91-2.92
Y1 0.5000 0.0000 0.5000  6 Se 2.86
Y2 0.5000 0.5000 0.0000  6 Se 2.93
Se1 0.2542 0.0000 0.7437  3 Y 2.86-2.93, 2 Dy 2.91, 1 Pr 2.98
Se2 0.2601 0.5000 0.2612  3 Y 2.86-2.93, 1 Dy 2.92, 2 Pr 2.99
Se3 0.7399 0.5000 0.7388  3 Y 2.86-2.93, 1 Dy 2.92, 2 Pr 2.99
Se4 0.7458 0.0000 0.2563  3 Y 2.86-2.93, 2 Dy 2.91, 1 Pr 2.98

Summary:
formation energy without anion corrections	-1775	meV/atom
density of states at the Fermi level	4.68	states/eV/cell
M_tot	0.00	μB per cell

---

Crystalline Pr2Dy3YSe6 at its relaxed geometry. Source: the Alexandria database, functional PBE.

Cell lengths 9.2782, 9.2782, 8.3578 Å; angles 103.70, 103.70, 25.59 degrees
Last column: nearest neighbours and their distance in Å.
Positions (direct):
Pr1 0.1684 0.1684 0.3362  6 Se 2.98-3.03
Pr2 0.8316 0.8316 0.6638  6 Se 2.98-3.03
Dy1 0.1702 0.1702 0.8337  6 Se 2.85-2.91
Dy2 0.5000 0.5000 0.5000  6 Se 2.84-2.93
Dy3 0.8298 0.8298 0.1663  6 Se 2.85-2.91
Y1 0.5000 0.5000 0.0000  6 Se 2.90-2.94
Se1 0.0045 0.0045 0.7517  3 Dy 2.91-2.93, 2 Y 2.94, 1 Pr 3.03
Se2 0.3348 0.3348 0.9288  3 Dy 2.87-2.89, 1 Y 2.90, 2 Pr 3.01
Se3 0.3381 0.3381 0.4070  3 Dy 2.84-2.85, 3 Pr 2.98-2.99
Se4 0.6619 0.6619 0.5930  3 Dy 2.84-2.85, 3 Pr 2.98-2.99
Se5 0.6652 0.6652 0.0712  3 Dy 2.87-2.89, 1 Y 2.90, 2 Pr 3.01
Se6 0.9955 0.9955 0.2483  3 Dy 2.91-2.93, 2 Y 2.94, 1 Pr 3.03

Summary:
formation energy without anion corrections	-1784	meV/atom
density of states at the Fermi level	5.50	states/eV/cell
M_tot	0.00	μB per cell

---

Crystalline Pr2Dy3Si4 at its relaxed geometry. Source: the Alexandria database, functional PBE.

Cell lengths 7.7698, 7.8243, 7.5363 Å; angles 90.00, 106.77, 90.00 degrees
Last column: nearest neighbours and their distance in Å.
Positions (direct):
Pr1 0.1985 0.1777 0.0840  6 Si 3.11-3.28
Pr2 0.1985 0.3223 0.5840  6 Si 3.11-3.28
Pr3 0.8015 0.6777 0.4160  6 Si 3.11-3.28
Pr4 0.8015 0.8223 0.9160  6 Si 3.11-3.28
Dy1 0.2450 0.6806 0.2534  6 Si 2.89-3.00
Dy2 0.2450 0.8194 0.7534  6 Si 2.89-3.00
Dy3 0.5000 0.0000 0.5000  6 Si 3.00-3.14
Dy4 0.5000 0.5000 0.0000  6 Si 3.00-3.14
Dy5 0.7550 0.1806 0.2466  6 Si 2.89-3.00
Dy6 0.7550 0.3194 0.7466  6 Si 2.89-3.00
Si1 0.0790 0.5312 0.8794  1 Si 2.52
Si2 0.0790 0.9688 0.3794  1 Si 2.52
Si3 0.4942 0.1179 0.8769  1 Si 2.60
Si4 0.4942 0.3821 0.3769  1 Si 2.60
Si5 0.5058 0.6179 0.6231  1 Si 2.60
Si6 0.5058 0.8821 0.1231  1 Si 2.60
Si7 0.9210 0.0312 0.6206  1 Si 2.52
Si8 0.9210 0.4688 0.1206  1 Si 2.52

Summary:
formation energy without anion corrections	-754	meV/atom
density of states at the Fermi level	17.11	states/eV/cell
M_tot	0.00	μB per cell

---

Crystalline PrDySi3 at its relaxed geometry. Source: the Alexandria database, functional PBE.

Cell lengths 12.5452, 12.5452, 3.9760 Å; angles 90.00, 90.00, 160.31 degrees
Last column: nearest neighbours and their distance in Å.
Positions (direct):
Pr1 0.0707 0.9293 0.7500  12 Si 3.13-3.43
Pr2 0.9293 0.0707 0.2500  12 Si 3.13-3.43
Dy1 0.2028 0.7972 0.2500  7 Si 2.92-2.98
Dy2 0.7972 0.2028 0.7500  7 Si 2.92-2.98
Si1 0.3210 0.6790 0.2500  2 Si 2.45
Si2 0.3790 0.6210 0.7500  3 Si 2.37-2.45
Si3 0.4747 0.5253 0.7500  3 Si 2.35-2.37
Si4 0.5253 0.4747 0.2500  3 Si 2.35-2.37
Si5 0.6210 0.3790 0.2500  3 Si 2.37-2.45
Si6 0.6790 0.3210 0.7500  2 Si 2.45

Summary:
formation energy without anion corrections	-703	meV/atom
density of states at the Fermi level	3.34	states/eV/cell
M_tot	0.00	μB per cell

---

Crystalline PrDy3Si2 at its relaxed geometry. Source: the Alexandria database, functional PBE.

Cell lengths 8.8347, 8.8347, 9.2024 Å; angles 111.95, 111.95, 28.43 degrees
Last column: nearest neighbours and their distance in Å.
Positions (direct):
Pr1 0.1159 0.1159 0.1366  6 Si 3.06-3.24, 1 Dy 3.38
Pr2 0.8841 0.8841 0.8634  6 Si 3.06-3.24, 1 Dy 3.38
Dy1 0.0482 0.0482 0.6969  3 Si 2.93-3.14, 2 Dy 3.23
Dy2 0.3088 0.3088 0.1162  3 Si 2.95-3.03, 4 Dy 3.16-3.23
Dy3 0.3486 0.3486 0.5194  3 Si 2.97-3.09
Dy4 0.6514 0.6514 0.4806  3 Si 2.97-3.09
Dy5 0.6912 0.6912 0.8838  3 Si 2.95-3.03, 4 Dy 3.16-3.23
Dy6 0.9518 0.9518 0.3031  3 Si 2.93-3.14, 2 Dy 3.23
Si1 0.2341 0.2341 0.7094  6 Dy 2.95-3.14, 2 Pr 3.24
Si2 0.4869 0.4869 0.1232  1 Si 2.47
Si3 0.5131 0.5131 0.8768  1 Si 2.47
Si4 0.7659 0.7659 0.2906  6 Dy 2.95-3.14, 2 Pr 3.24

Summary:
formation energy without anion corrections	-492	meV/atom
density of states at the Fermi level	10.86	states/eV/cell
M_tot	0.00	μB per cell

---

Crystalline Pr3Dy3Si4 at its relaxed geometry. Source: the Alexandria database, functional PBE.

Cell lengths 4.3756, 7.6105, 7.6105 Å; angles 90.79, 90.00, 90.00 degrees
Last column: nearest neighbours and their distance in Å.
Positions (direct):
Pr1 0.0000 0.0000 0.0000  6 Si 3.16-3.17
Pr2 0.0000 0.4956 0.8516  6 Si 3.15-3.18, 2 Dy 3.53
Pr3 0.0000 0.8516 0.4956  6 Si 3.15-3.18, 2 Dy 3.53
Dy1 0.0000 0.3527 0.3527  6 Si 3.08-3.11
Dy2 0.5000 0.1744 0.6764  4 Si 3.01-3.11
Dy3 0.5000 0.6764 0.1744  4 Si 3.01-3.11
Si1 0.5000 0.0683 0.2937  1 Si 2.44
Si2 0.5000 0.2937 0.0683  1 Si 2.44
Si3 0.5000 0.5549 0.5549  1 Si 2.47
Si4 0.5000 0.7861 0.7861  1 Si 2.47

Summary:
formation energy without anion corrections	-677	meV/atom
density of states at the Fermi level	8.53	states/eV/cell
M_tot	0.00	μB per cell

---

Crystalline Pr2DySi at its relaxed geometry. Source: the Alexandria database, functional PBE.

Cell lengths 4.7422, 4.7422, 4.8113 Å; angles 90.00, 90.00, 90.00 degrees
Last column: nearest neighbours and their distance in Å.
Positions (direct):
Pr1 0.0000 0.5000 0.0000  4 Pr 3.35, 4 Si 3.38, 4 Dy 3.38
Pr2 0.5000 0.0000 0.0000  4 Pr 3.35, 4 Si 3.38, 4 Dy 3.38
Dy1 0.0000 0.0000 0.5000  4 Si 3.35, 8 Pr 3.38
Si1 0.5000 0.5000 0.5000  4 Dy 3.35, 8 Pr 3.38

Summary:
formation energy without anion corrections	-235	meV/atom
density of states at the Fermi level	4.05	states/eV/cell
distance to the lowest polymorph of the same formula	0.0	meV per atom
M_tot	0.00	μB per cell

---

Crystalline PrDySi at its relaxed geometry. Source: the Alexandria database, functional PBE.

Cell lengths 7.9938, 7.9938, 4.3244 Å; angles 90.00, 90.00, 120.00 degrees
Last column: nearest neighbours and their distance in Å.
Positions (direct):
Pr1 0.0000 0.4068 0.0000  5 Si 3.25, 6 Dy 3.43-3.58
Pr2 0.4068 0.0000 0.0000  5 Si 3.25, 6 Dy 3.43-3.58
Pr3 0.5932 0.5932 0.0000  5 Si 3.25, 6 Dy 3.43-3.58
Dy1 0.0000 0.7407 0.5000  4 Si 3.00
Dy2 0.2593 0.2593 0.5000  4 Si 3.00
Dy3 0.7407 0.0000 0.5000  4 Si 3.00
Si1 0.0000 0.0000 0.0000  6 Dy 3.00, 3 Pr 3.25
Si2 0.3333 0.6667 0.5000  3 Dy 3.00, 6 Pr 3.25
Si3 0.6667 0.3333 0.5000  3 Dy 3.00, 6 Pr 3.25

Summary:
formation energy without anion corrections	-533	meV/atom
density of states at the Fermi level	10.85	states/eV/cell
distance to the lowest polymorph of the same formula	0.0	meV per atom
M_tot	2.43	μB per cell

---

Number 1: DFT total energy -6.07 eV per atom. Number 2: DFT total energy -6.16 eV per atom. Number 3: DFT total energy -6.14 eV per atom. Number 4: DFT total energy -6.30 eV per atom. Number 5: DFT total energy -6.31 eV per atom. Number 6: DFT total energy -6.01 eV per atom. Number 7: DFT total energy -5.76 eV per atom. Number 8: DFT total energy -5.83 eV per atom. Number 9: DFT total energy -5.40 eV per atom. Number 10: DFT total energy -5.66 eV per atom. Number 11: DFT total energy -5.13 eV per atom. Number 12: DFT total energy -5.47 eV per atom.